Entry 1:
DFT (PBE) results for crystalline KFe2Re at its relaxed geometry.

The structure in extended XYZ format:
```
4
Lattice="3.001 0.000 0.000 0.000 3.001 0.000 0.000 0.000 8.052" Properties=species:S:1:pos:R:3 pbc="T T T"
K 0.000 0.000 0.000
Fe 1.501 1.501 2.705
Fe 1.501 1.501 5.346
Re 0.000 0.000 4.026
```

Computed properties:
**Offset from the most stable computed form**: 0.068 eV per atom
**Space-group type**: No. 123

---

Entry 2:
DFT (PBE) results for crystalline K2FeRe at its relaxed geometry.

The structure in extended XYZ format:
```
4
Lattice="0.000 3.549 3.549 3.549 0.000 3.549 3.549 3.549 0.000" Properties=species:S:1:pos:R:3 pbc="T T T"
K 0.000 0.000 0.000
K 1.775 1.775 1.775
Fe 3.549 3.549 3.549
Re 5.324 5.324 5.324
```

Computed properties:
**Offset from the most stable computed form**: 0.967 eV per atom
**Space-group type**: No. 216

---

Entry 3:
DFT (PBE) results for crystalline KFe2Re at its relaxed geometry.

The structure in extended XYZ format:
```
4
Lattice="1.415 0.817 9.830 -1.415 0.817 9.830 0.000 -1.633 9.830" Properties=species:S:1:pos:R:3 pbc="T T T"
K 0.000 0.000 0.000
Fe 0.000 0.000 6.895
Fe 0.000 0.000 22.595
Re 0.000 0.000 14.745
```

Computed properties:
**Offset from the most stable computed form**: 0.177 eV per atom
**Space-group type**: No. 166

---

Entry 4:
DFT (PBE) results for crystalline KFe2Re at its relaxed geometry.

The structure in extended XYZ format:
```
4
Lattice="2.591 0.000 0.000 0.000 4.873 0.000 0.000 0.000 5.377" Properties=species:S:1:pos:R:3 pbc="T T T"
K 0.000 0.000 0.000
Fe 0.000 2.436 2.688
Fe 1.295 2.436 0.000
Re 1.295 0.000 2.688
```

Computed properties:
**Offset from the most stable computed form**: 0.876 eV per atom
**Space-group type**: No. 47

---

Entry 5:
DFT (PBE) results for crystalline K2FeRe at its relaxed geometry.

The structure in extended XYZ format:
```
4
Lattice="-1.730 2.975 5.739 1.730 -2.975 5.739 1.730 2.975 -5.739" Properties=species:S:1:pos:R:3 pbc="T T T"
K 0.000 0.000 0.000
K 0.000 2.975 2.418
Fe 1.730 0.000 3.285
Re 0.000 0.000 4.620
```

Computed properties:
**Offset from the most stable computed form**: 0.296 eV per atom
**Space-group type**: No. 44

---

Entry 6:
DFT (PBE) results for crystalline KFe2Re at its relaxed geometry.

The structure in extended XYZ format:
```
4
Lattice="-1.305 2.540 5.116 1.305 -2.540 5.116 1.305 2.540 -5.116" Properties=species:S:1:pos:R:3 pbc="T T T"
K 0.000 0.000 0.000
Fe 0.000 0.000 5.224
Fe 0.000 2.540 2.187
Re 1.305 0.000 3.032
```

Computed properties:
**Offset from the most stable computed form**: 0.436 eV per atom
**Space-group type**: No. 44

---

Entry 7:
DFT (PBE) results for crystalline KFe4Re at its relaxed geometry.

The structure in extended XYZ format:
```
6
Lattice="0.000 3.488 3.488 3.488 0.000 3.488 3.488 3.488 0.000" Properties=species:S:1:pos:R:3 pbc="T T T"
K 0.000 0.000 0.000
Fe 2.625 2.625 2.625
Fe 4.351 4.351 2.625
Fe 4.351 2.625 4.351
Fe 2.625 4.351 4.351
Re 5.232 5.232 5.232
```

Computed properties:
**Space-group type**: No. 216

---

Entry 8:
DFT (PBE) results for crystalline K2FeRe at its relaxed geometry.

The structure in extended XYZ format:
```
4
Lattice="0.000 3.939 3.939 3.939 0.000 3.939 3.939 3.939 0.000" Properties=species:S:1:pos:R:3 pbc="T T T"
K 1.970 1.970 1.970
K 5.909 5.909 5.909
Fe 0.000 0.000 0.000
Re 3.939 3.939 3.939
```

Computed properties:
**Offset from the most stable computed form**: 1.242 eV per atom
**Space-group type**: No. 225

---

Entry 9:
DFT (PBE) results for crystalline KFe2Re at its relaxed geometry.

The structure in extended XYZ format:
```
4
Lattice="1.557 -2.200 0.000 1.557 2.200 0.000 0.000 0.000 9.826" Properties=species:S:1:pos:R:3 pbc="T T T"
K 0.000 0.000 0.000
Fe 1.557 0.000 2.924
Fe 1.557 0.000 6.902
Re 0.000 0.000 4.913
```

Computed properties:
**Offset from the most stable computed form**: 0.116 eV per atom
**Space-group type**: No. 65

---

Entry 10:
DFT (PBE) results for crystalline KFe2Re at its relaxed geometry.

The structure in extended XYZ format:
```
8
Lattice="-3.503 3.503 3.138 3.503 -3.503 3.138 3.503 3.503 -3.138" Properties=species:S:1:pos:R:3 pbc="T T T"
K 0.000 0.000 0.000
K 0.000 3.503 1.569
Fe 1.751 -1.233 2.353
Fe 2.270 1.751 0.784
Fe 1.751 4.735 -0.784
Fe 1.233 1.751 3.922
Re 3.503 0.000 1.569
Re 0.000 0.000 3.138
```

Computed properties:
**Offset from the most stable computed form**: 0.825 eV per atom
**Space-group type**: No. 122

---

Entry 11:
DFT (PBE) results for crystalline KFe2Re at its relaxed geometry.

The structure in extended XYZ format:
```
4
Lattice="0.000 3.099 3.099 3.099 0.000 3.099 3.099 3.099 0.000" Properties=species:S:1:pos:R:3 pbc="T T T"
K 0.000 0.000 0.000
Fe 1.549 1.549 1.549
Fe 4.648 4.648 4.648
Re 3.099 3.099 3.099
```

Computed properties:
**Offset from the most stable computed form**: 0.893 eV per atom
**Space-group type**: No. 225

---

Entry 12:
DFT (PBE) results for crystalline KFe3Re at its relaxed geometry.

The structure in extended XYZ format:
```
5
Lattice="4.726 0.000 0.000 0.000 4.726 0.000 0.000 0.000 4.726" Properties=species:S:1:pos:R:3 pbc="T T T"
K 0.000 0.000 0.000
Fe 0.000 2.363 2.363
Fe 2.363 0.000 2.363
Fe 2.363 2.363 0.000
Re 2.363 2.363 2.363
```

Computed properties:
**Offset from the most stable computed form**: 0.000 eV per atom
**Space-group type**: No. 221

---

Entry 13:
DFT (PBE) results for crystalline KFe2Re at its relaxed geometry.

The structure in extended XYZ format:
```
4
Lattice="2.666 0.000 0.000 0.000 3.635 0.000 0.000 0.000 7.901" Properties=species:S:1:pos:R:3 pbc="T T T"
K 0.000 0.000 0.000
Fe 0.000 0.000 3.980
Fe 1.333 1.818 5.203
Re 1.333 1.818 2.846
```

Computed properties:
**Offset from the most stable computed form**: 0.096 eV per atom
**Space-group type**: No. 25

---

Entry 14:
DFT (PBE) results for crystalline K2FeRe at its relaxed geometry.

The structure in extended XYZ format:
```
8
Lattice="-6.242 6.242 2.230 6.242 -6.242 2.230 6.242 6.242 -2.230" Properties=species:S:1:pos:R:3 pbc="T T T"
K 0.798 3.121 0.557
K -3.121 5.444 1.672
K -0.798 9.363 0.557
K 3.121 7.041 1.672
Fe 0.000 0.000 0.000
Fe 0.000 6.242 1.115
Re 6.242 0.000 1.115
Re 0.000 0.000 2.230
```

Computed properties:
**Offset from the most stable computed form**: 0.646 eV per atom
**Space-group type**: No. 122

---

Entry 15:
DFT (PBE) results for crystalline KFeRe4 at its relaxed geometry.

The structure in extended XYZ format:
```
6
Lattice="0.000 3.760 3.760 3.760 0.000 3.760 3.760 3.760 0.000" Properties=species:S:1:pos:R:3 pbc="T T T"
K 0.000 0.000 0.000
Fe 1.880 1.880 1.880
Re 4.696 2.823 2.823
Re 2.823 4.696 2.823
Re 2.823 2.823 4.696
Re 4.696 4.696 4.696
```

Computed properties:
**Space-group type**: No. 216

---

no.,calculated formation energy (eV per atom)
1,0.778
2,1.865
3,0.887
4,1.587
5,1.194
6,1.147
7,1.001
8,2.141
9,0.827
10,1.536
11,1.603
12,1.348
13,0.806
14,1.544
15,1.117